Record 1
This record from the Alexandria database describes a relaxed structure of CdTeH3. The functional is GGA-PBEsol.

Summary:
DOS at the Fermi energy = 0.478 states/eV per atom
Total moment = 0.00 μB/cell
E_tot = -10.85 eV per formula unit

a = 3.9639 Å, b = 3.9639 Å, c = 3.9639 Å
α = 90.00°, β = 90.00°, γ = 90.00°
Space group Pm-3m (No. 221)
Symmetry-distinct sites (fractional):
1 Cd 0.0000 0.0000 0.0000
2 Te 0.5000 0.5000 0.5000
3 H 0.0000 0.0000 0.5000

***

Record 2
This record from the Alexandria database describes a relaxed structure of ReOsCl2. The functional is GGA-PBEsol.

Summary:
Formation energy without anion corrections = 1.62 eV per atom
DOS at the Fermi energy = 0.902 states/eV per atom
Total moment = 0.00 μB/cell
Energy above the most stable polymorph in this dataset = 1.142 eV per atom

a = 4.2851 Å, b = 4.2851 Å, c = 3.0462 Å
α = 90.00°, β = 90.00°, γ = 90.00°
Space group P4/mmm (No. 123)
Symmetry-distinct sites (fractional):
1 Re 0.0000 0.0000 0.0000
2 Os 0.5000 0.5000 0.0000
3 Cl 0.0000 0.5000 0.5000

***

Record 3
This record from the Alexandria database describes a relaxed structure of Cd2ReSb. The functional is GGA-PBEsol.

Summary:
Formation energy without anion corrections = 0.59 eV per atom
DOS at the Fermi energy = 0.615 states/eV per atom
Total moment = 0.00 μB/cell

a = 3.9832 Å, b = 3.9832 Å, c = 9.4432 Å
α = 90.00°, β = 90.00°, γ = 90.00°
Space group I4/mmm (No. 139)
Symmetry-distinct sites (fractional):
1 Cd 0.0000 0.5000 0.2500
2 Re 0.0000 0.0000 0.0000
3 Sb 0.0000 0.0000 0.5000

***

Record 4
This record from the Alexandria database describes a relaxed structure of BaLi2Zn. The functional is GGA-PBEsol.

Summary:
Energy of formation = -8 meV/atom
DOS at the Fermi energy = 0.438 states/eV per atom
Total moment = 0.00 μB/cell

a = 3.7359 Å, b = 3.7359 Å, c = 7.5737 Å
α = 90.00°, β = 90.00°, γ = 90.00°
Space group P4mm (No. 99)
Symmetry-distinct sites (fractional):
1 Ba 0.0000 0.0000 0.0000
2 Li 0.0000 0.0000 0.5573
3 Li 0.5000 0.5000 0.3668
4 Zn 0.5000 0.5000 0.7219

***

Record 5
This record from the Alexandria database describes a relaxed structure of ZrGaN2. The functional is GGA-PBEsol.

Summary:
Formation energy without anion corrections = -0.80 eV per atom
DOS at the Fermi energy = 0.619 states/eV per atom
Total moment = 0.00 μB/cell

a = 4.8075 Å, b = 4.8075 Å, c = 9.2393 Å
α = 90.00°, β = 90.00°, γ = 90.00°
Space group I-42d (No. 122)
Symmetry-distinct sites (fractional):
1 Zr 0.0000 0.0000 0.0000
2 Ga 0.0000 0.0000 0.5000
3 N 0.2257 0.2500 0.6250

***

Record 6
This record from the Alexandria database describes a relaxed structure of Al2P2Pb. The functional is GGA-PBEsol.

Summary:
Energy of formation = -13 meV/atom
DOS at the Fermi energy = 0.380 states/eV per atom
Total moment = 0.00 μB/cell

a = 4.6982 Å, b = 4.6982 Å, c = 8.8243 Å
α = 90.00°, β = 90.00°, γ = 90.00°
Space group I4/mmm (No. 139)
Symmetry-distinct sites (fractional):
1 Al 0.0000 0.0000 0.1491
2 P 0.0000 0.5000 0.2500
3 Pb 0.0000 0.0000 0.5000

***

Record 7
This record from the Alexandria database describes a relaxed structure of Zn2GeIrSe. The functional is GGA-PBEsol.

Summary:
Formation energy without anion corrections = 1.12 eV per atom
DOS at the Fermi energy = 1.059 states/eV per atom
Total moment = 0.01 μB/cell

a = 4.4045 Å, b = 4.4045 Å, c = 5.1096 Å
α = 90.00°, β = 90.00°, γ = 90.00°
Space group P4/mmm (No. 123)
Symmetry-distinct sites (fractional):
1 Zn 0.0000 0.5000 0.0000
2 Ge 0.0000 0.0000 0.0000
3 Ir 0.5000 0.5000 0.5000
4 Se 0.0000 0.0000 0.5000

***

Record 8
This record from the Alexandria database describes a relaxed structure of YZr2Co. The functional is GGA-PBEsol.

Summary:
Energy of formation = 201 meV/atom
DOS at the Fermi energy = 1.049 states/eV per atom
Total moment = 0.00 μB/cell
Energy above the most stable polymorph in this dataset = 0.251 eV per atom

a = 3.9579 Å, b = 3.9579 Å, c = 10.1997 Å
α = 90.00°, β = 90.00°, γ = 90.00°
Space group I4/mmm (No. 139)
Symmetry-distinct sites (fractional):
1 Y 0.0000 0.0000 0.0000
2 Zr 0.0000 0.5000 0.2500
3 Co 0.0000 0.0000 0.5000